VASP calculation (PBE-GGA) on KHf3V after structural relaxation.

ρ = 9.17 Mg/m³
excess energy over the best structure of this formula in the dataset = 6.67 eV/f.u.
SG = Pm-3m
energy = -5.6976 eV per atom
formation energy from the elements = 2.32 eV/atom

The structure in POSCAR format:
```
KHf3V
1.0
4.838 0.000 0.000
0.000 4.838 0.000
0.000 0.000 4.838
V Hf K
1 3 1
direct
0.500 0.500 0.500
0.000 0.000 0.500
0.000 0.500 0.000
0.500 0.000 0.000
0.000 0.000 0.000
```